DFT (GGA-PBE) results for a relaxed Sn4SbS8 crystal.

The space group is F-43m (No. 216) and the conventional cell measures 11.145, 11.145 and 11.145 Å, with angles of 90.00, 90.00 and 90.00 degrees. The inequivalent atoms are Sn at (0.117, 0.117, 0.383), Sb at (0.000, 0.000, 0.000), S at (0.120, 0.120, 0.620) and S at (0.133, 0.133, 0.133).

Its energy relative to the elements, uncorrected is -300 kJ/mol of formula units. Its spin magnetization is 0.00 μB/f.u.